The following is a DFT calculation (PBE) of a relaxed structure of Pm5Nd6Y2.

Unit cell a=3.661 b=11.869 c=20.938 alpha=90.00 beta=90.00 gamma=90.00
Sites, in units of the cell vectors:
Pm: 0.500 0.590 0.274
Pm: 0.500 0.910 0.774
Pm: 0.500 0.302 0.446
Pm: 0.500 0.000 0.500
Pm: 0.500 0.698 0.554
Pm: 0.500 0.802 0.054
Pm: 0.500 0.198 0.946
Pm: 0.500 0.090 0.226
Pm: 0.500 0.500 0.000
Pm: 0.500 0.410 0.726
Nd: 0.500 0.675 0.864
Nd: 0.500 0.325 0.136
Nd: 0.500 0.175 0.636
Nd: 0.000 0.561 0.420
Nd: 0.000 0.418 0.867
Nd: 0.000 0.939 0.920
Nd: 0.500 0.825 0.364
Nd: 0.000 0.439 0.580
Nd: 0.000 0.918 0.633
Nd: 0.000 0.582 0.133
Nd: 0.000 0.061 0.080
Nd: 0.000 0.082 0.367
Y: 0.000 0.832 0.211
Y: 0.000 0.168 0.789
Y: 0.000 0.332 0.289
Y: 0.000 0.668 0.711

Output
Size of the total moment in Bohr magnetons per cell: 0.0
Formation energy from the elements in meV/atom: 89
SG: Pbam
Raw total energy in eV/cell: -128.25

The following is a DFT calculation (PBE) of a relaxed structure of V2CoPt.

Unit cell a=2.658 b=2.658 c=7.395 alpha=90.00 beta=90.00 gamma=90.03
Sites, in units of the cell vectors:
Pt: 0.500 0.500 0.000
Co: 0.500 0.500 0.500
V: 0.000 0.000 0.270
V: 0.000 0.000 0.730

Output
Size of the total moment in Bohr magnetons per cell: 0.0
Formation energy from the elements in meV/atom: -343
SG: P4/mmm
Raw total energy in eV/cell: -32.76